Entry from Alexandria: a geometry-optimized NaSr3Co2O6 structure (PBE with a Hubbard U).

Summary:
total DFT energy (no corrections): -5.551 eV per atom
SG: P-3m1 (164)
D(E_F): 0.631 states/eV/atom

Geometry as POSCAR:
```
NaSr3Co2O6
1.0
6.0106 0.0000 0.0000
-3.0053 5.2054 0.0000
0.0000 0.0000 6.4463
Na Sr Co O
1 3 2 6
Direct
0.0000 0.0000 0.0000
0.0000 0.0000 0.5000
0.3333 0.6667 0.1583
0.6667 0.3333 0.8417
0.3333 0.6667 0.7034
0.6667 0.3333 0.2966
0.1687 0.3373 0.7749
0.1687 0.8313 0.7749
0.3373 0.1687 0.2251
0.6627 0.8313 0.7749
0.8313 0.1687 0.2251
0.8313 0.6627 0.2251
```